First-principles (PBE) data for a geometry-optimized GaP2ICl structure, as listed in the Alexandria database.

Computed properties:
* DOS(E_F): 5.902 states/eV/cell
* calculated volume: 153.8 Å³/cell
* mass density: 3.2 g/cm³
* space-group type: P4/mmm, No. 123
* energy relative to the lowest polymorph listed for this composition: 470.7 meV per atom
* energy relative to the elements, uncorrected: 95.21 kJ per mole of atoms

a b c (Å): 5.2039 5.2039 5.6798
angles (deg): 90.00 90.00 90.00
Element x y z (fractional)
Ga  0.0000  0.0000  0.0000
P  0.0000  0.5000  0.5000
P  0.5000  0.0000  0.5000
I  0.5000  0.5000  0.5000
Cl  0.5000  0.5000  0.0000